VASP calculation (PBE) on a relaxed structure of AcMgScIn.

Total magnetization = 0.000 μB per cell
Formation energy from the elements = -0.196 eV per atom
Energy = -3.89 eV/atom

a b c (Å): 5.451 5.451 5.451
angles (deg): 60.00 60.00 60.00
Fractional positions:
Sc1 0.000 0.000 0.000
Ac1 0.500 0.500 0.500
Mg1 0.750 0.750 0.750
In1 0.250 0.250 0.250